# BaHgBAu

Crystalline BaHgBAu at its relaxed geometry (PBE-GGA, the Open Quantum Materials Database).

Unit cell a=7.264 b=7.264 c=7.264 alpha=90.00 beta=90.00 gamma=90.00
Positions (direct):
Ba  0.000  0.000  0.000
Ba  0.000  0.500  0.500
Ba  0.500  0.000  0.500
Ba  0.500  0.500  0.000
Hg  0.000  0.000  0.500
Hg  0.000  0.500  0.000
Hg  0.500  0.000  0.000
Hg  0.500  0.500  0.500
B  0.250  0.250  0.250
B  0.250  0.750  0.750
B  0.750  0.250  0.750
B  0.750  0.750  0.250
Au  0.250  0.250  0.750
Au  0.250  0.750  0.250
Au  0.750  0.250  0.250
Au  0.750  0.750  0.750

Computed properties:
**V**: 383.3 Å³ per cell
**Excess energy over the best structure of this formula in the dataset**: 0 meV per atom
**Raw total energy**: -2.5227 eV/atom

# BaCd5Au2

Crystalline BaCd5Au2 at its relaxed geometry (PBE-GGA, the Open Quantum Materials Database).

Unit cell a=4.492 b=8.327 c=10.787 alpha=90.00 beta=90.00 gamma=90.00
Positions (direct):
Ba  0.000  0.000  0.000
Ba  0.500  0.500  0.500
Cd  0.000  0.184  0.351
Cd  0.000  0.184  0.649
Cd  0.000  0.500  0.000
Cd  0.000  0.816  0.351
Cd  0.000  0.816  0.649
Cd  0.500  0.000  0.500
Cd  0.500  0.316  0.149
Cd  0.500  0.316  0.851
Cd  0.500  0.684  0.149
Cd  0.500  0.684  0.851
Au  0.000  0.500  0.261
Au  0.000  0.500  0.739
Au  0.500  0.000  0.239
Au  0.500  0.000  0.761

Computed properties:
**V**: 403.5 Å³ per cell
**Raw total energy**: -1.9657 eV/atom

# SmErIn

Crystalline SmErIn at its relaxed geometry (PBE-GGA, the Open Quantum Materials Database).

Unit cell a=7.363 b=7.363 c=7.363 alpha=90.00 beta=90.00 gamma=90.00
Positions (direct):
Sm  0.000  0.000  0.000
Sm  0.000  0.500  0.500
Sm  0.500  0.000  0.500
Sm  0.500  0.500  0.000
Er  0.000  0.000  0.500
Er  0.000  0.500  0.000
Er  0.500  0.000  0.000
Er  0.500  0.500  0.500
In  0.250  0.250  0.750
In  0.250  0.750  0.250
In  0.750  0.250  0.250
In  0.750  0.750  0.750

Computed properties:
**V**: 399.1 Å³ per cell
**Excess energy over the best structure of this formula in the dataset**: 258 meV per atom
**Size of the total moment**: 0.08 μB/f.u.
**Raw total energy**: -4.0964 eV/atom

# HfNiBAu

Crystalline HfNiBAu at its relaxed geometry (PBE-GGA, the Open Quantum Materials Database).

Unit cell a=6.128 b=6.128 c=6.128 alpha=90.00 beta=90.00 gamma=90.00
Positions (direct):
Hf  0.000  0.000  0.000
Hf  0.000  0.500  0.500
Hf  0.500  0.000  0.500
Hf  0.500  0.500  0.000
Ni  0.000  0.000  0.500
Ni  0.000  0.500  0.000
Ni  0.500  0.000  0.000
Ni  0.500  0.500  0.500
B  0.250  0.250  0.750
B  0.250  0.750  0.250
B  0.750  0.250  0.250
B  0.750  0.750  0.750
Au  0.250  0.250  0.250
Au  0.250  0.750  0.750
Au  0.750  0.250  0.750
Au  0.750  0.750  0.250

Computed properties:
**V**: 230.1 Å³ per cell
**Excess energy over the best structure of this formula in the dataset**: 83 meV per atom
**Size of the total moment**: 0.00 μB/f.u.
**Raw total energy**: -6.2170 eV/atom

# Cu7Ag

Crystalline Cu7Ag at its relaxed geometry (PBE-GGA, the Open Quantum Materials Database).

Unit cell a=9.058 b=5.238 c=4.502 alpha=90.00 beta=109.68 gamma=90.00
Positions (direct):
Cu  0.000  0.000  0.000
Cu  0.000  0.240  0.500
Cu  0.000  0.760  0.500
Cu  0.245  0.000  0.488
Cu  0.250  0.250  0.000
Cu  0.250  0.750  0.000
Cu  0.255  0.500  0.512
Cu  0.500  0.260  0.500
Cu  0.500  0.500  0.000
Cu  0.500  0.740  0.500
Cu  0.745  0.500  0.488
Cu  0.750  0.250  0.000
Cu  0.750  0.750  0.000
Cu  0.755  0.000  0.512
Ag  0.000  0.500  0.000
Ag  0.500  0.000  0.000

Computed properties:
**V**: 201.1 Å³ per cell
**ΔE_f**: 0.053 eV per atom
**Excess energy over the best structure of this formula in the dataset**: 11 meV per atom
**Raw total energy**: -3.5521 eV/atom

# Y4Al23Ni6

Crystalline Y4Al23Ni6 at its relaxed geometry (PBE-GGA, the Open Quantum Materials Database).

Unit cell a=8.164 b=8.164 c=18.303 alpha=112.12 beta=112.12 gamma=28.86
Positions (direct):
Y  0.072  0.072  0.407
Y  0.235  0.235  0.781
Y  0.765  0.765  0.219
Y  0.928  0.928  0.593
Al  0.033  0.033  0.781
Al  0.066  0.066  0.940
Al  0.110  0.110  0.164
Al  0.122  0.122  0.595
Al  0.226  0.226  0.325
Al  0.244  0.244  0.953
Al  0.299  0.299  0.480
Al  0.355  0.355  0.143
Al  0.410  0.410  0.718
Al  0.410  0.410  0.948
Al  0.419  0.419  0.314
Al  0.500  0.500  0.500
Al  0.581  0.581  0.686
Al  0.590  0.590  0.052
Al  0.590  0.590  0.282
Al  0.645  0.645  0.857
Al  0.701  0.701  0.520
Al  0.756  0.756  0.047
Al  0.774  0.774  0.675
Al  0.878  0.878  0.405
Al  0.890  0.890  0.836
Al  0.934  0.934  0.060
Al  0.967  0.967  0.219
Ni  0.189  0.189  0.068
Ni  0.273  0.273  0.601
Ni  0.492  0.492  0.861
Ni  0.508  0.508  0.139
Ni  0.727  0.727  0.399
Ni  0.811  0.811  0.932

Computed properties:
**V**: 542.6 Å³ per cell
**Size of the total moment**: 0.00 μB/f.u.
**Raw total energy**: -4.9253 eV/atom

# TmInHgTe3

Crystalline TmInHgTe3 at its relaxed geometry (PBE-GGA, the Open Quantum Materials Database).

Unit cell a=11.501 b=4.411 c=15.049 alpha=90.00 beta=90.00 gamma=90.00
Positions (direct):
Tm  0.015  0.250  0.247
Tm  0.485  0.750  0.747
Tm  0.515  0.250  0.253
Tm  0.985  0.750  0.753
In  0.228  0.750  0.512
In  0.272  0.250  0.012
In  0.728  0.750  0.988
In  0.772  0.250  0.488
Hg  0.241  0.250  0.716
Hg  0.259  0.750  0.216
Hg  0.741  0.250  0.784
Hg  0.759  0.750  0.284
Te  0.033  0.250  0.614
Te  0.060  0.750  0.107
Te  0.236  0.750  0.839
Te  0.264  0.250  0.339
Te  0.440  0.250  0.607
Te  0.467  0.750  0.114
Te  0.533  0.250  0.886
Te  0.560  0.750  0.393
Te  0.736  0.750  0.661
Te  0.764  0.250  0.161
Te  0.940  0.250  0.893
Te  0.967  0.750  0.386

Computed properties:
**V**: 763.5 Å³ per cell
**Excess energy over the best structure of this formula in the dataset**: 30 meV per atom
**Size of the total moment**: 0.00 μB/f.u.
**Raw total energy**: -3.4582 eV/atom

# NaLaHfPd

Crystalline NaLaHfPd at its relaxed geometry (PBE-GGA, the Open Quantum Materials Database).

Unit cell a=7.048 b=7.048 c=7.048 alpha=90.00 beta=90.00 gamma=90.00
Positions (direct):
Na  0.000  0.000  0.000
Na  0.000  0.500  0.500
Na  0.500  0.000  0.500
Na  0.500  0.500  0.000
La  0.250  0.250  0.250
La  0.250  0.750  0.750
La  0.750  0.250  0.750
La  0.750  0.750  0.250
Hf  0.000  0.000  0.500
Hf  0.000  0.500  0.000
Hf  0.500  0.000  0.000
Hf  0.500  0.500  0.500
Pd  0.250  0.250  0.750
Pd  0.250  0.750  0.250
Pd  0.750  0.250  0.250
Pd  0.750  0.750  0.750

Computed properties:
**V**: 350.1 Å³ per cell
**Excess energy over the best structure of this formula in the dataset**: 27 meV per atom
**Size of the total moment**: 0.00 μB/f.u.
**Raw total energy**: -5.1551 eV/atom

# Er2Tm3Lu2Ni2Te2

Crystalline Er2Tm3Lu2Ni2Te2 at its relaxed geometry (PBE-GGA, the Open Quantum Materials Database).

Unit cell a=9.223 b=9.223 c=9.223 alpha=156.08 beta=67.18 gamma=118.27
Positions (direct):
Er  0.146  0.000  0.146
Er  0.854  0.000  0.854
Tm  0.168  0.353  0.815
Tm  0.229  0.729  0.500
Tm  0.538  0.353  0.185
Lu  0.512  0.147  0.365
Lu  0.782  0.147  0.635
Ni  0.397  0.660  0.737
Ni  0.924  0.660  0.263
Te  0.496  0.496  0.000
Te  0.890  0.390  0.500

Computed properties:
**V**: 277.9 Å³ per cell
**Excess energy over the best structure of this formula in the dataset**: 5 meV per atom
**Size of the total moment**: 0.01 μB/f.u.
**Raw total energy**: -5.1337 eV/atom

# HfNbH2Os

Crystalline HfNbH2Os at its relaxed geometry (PBE-GGA, the Open Quantum Materials Database).

Unit cell a=3.095 b=3.095 c=12.236 alpha=90.00 beta=90.00 gamma=90.00
Positions (direct):
Hf  0.000  0.000  0.000
Hf  0.500  0.500  0.500
Nb  0.000  0.000  0.278
Nb  0.500  0.500  0.778
H  0.000  0.500  0.384
H  0.000  0.500  0.884
H  0.500  0.000  0.384
H  0.500  0.000  0.884
Os  0.000  0.000  0.643
Os  0.500  0.500  0.143

Computed properties:
**V**: 117.2 Å³ per cell
**Size of the total moment**: 0.00 μB/f.u.
**Raw total energy**: -8.0067 eV/atom

# La2HgAu5

Crystalline La2HgAu5 at its relaxed geometry (PBE-GGA, the Open Quantum Materials Database).

Unit cell a=4.838 b=6.722 c=11.420 alpha=90.00 beta=90.00 gamma=90.00
Positions (direct):
La  0.000  0.000  0.000
La  0.000  0.500  0.500
La  0.500  0.000  0.325
La  0.500  0.500  0.825
Hg  0.000  0.000  0.514
Hg  0.000  0.500  0.014
Au  0.000  0.230  0.746
Au  0.000  0.270  0.246
Au  0.000  0.730  0.246
Au  0.000  0.770  0.746
Au  0.500  0.000  0.818
Au  0.500  0.231  0.590
Au  0.500  0.269  0.090
Au  0.500  0.500  0.318
Au  0.500  0.731  0.090
Au  0.500  0.769  0.590

Computed properties:
**V**: 371.4 Å³ per cell
**ΔE_f**: -0.662 eV per atom
**Size of the total moment**: 0.00 μB/f.u.
**Raw total energy**: -3.9713 eV/atom

# ZrSiPt

Crystalline ZrSiPt at its relaxed geometry (PBE-GGA, the Open Quantum Materials Database).

Unit cell a=5.321 b=4.017 c=10.025 alpha=90.00 beta=90.00 gamma=90.00
Positions (direct):
Zr  0.204  0.250  0.155
Zr  0.296  0.750  0.655
Zr  0.704  0.250  0.345
Zr  0.796  0.750  0.845
Si  0.158  0.250  0.852
Si  0.342  0.750  0.352
Si  0.658  0.250  0.648
Si  0.842  0.750  0.148
Pt  0.174  0.250  0.456
Pt  0.326  0.750  0.956
Pt  0.674  0.250  0.044
Pt  0.826  0.750  0.544

Computed properties:
**V**: 214.3 Å³ per cell
**Size of the total moment**: 0.00 μB/f.u.
**Raw total energy**: -7.4029 eV/atom

# DyMgPa

Crystalline DyMgPa at its relaxed geometry (PBE-GGA, the Open Quantum Materials Database).

Unit cell a=7.159 b=7.159 c=7.159 alpha=90.00 beta=90.00 gamma=90.00
Positions (direct):
Dy  0.000  0.000  0.000
Dy  0.000  0.500  0.500
Dy  0.500  0.000  0.500
Dy  0.500  0.500  0.000
Mg  0.250  0.250  0.250
Mg  0.250  0.750  0.750
Mg  0.750  0.250  0.750
Mg  0.750  0.750  0.250
Pa  0.000  0.000  0.500
Pa  0.000  0.500  0.000
Pa  0.500  0.000  0.000
Pa  0.500  0.500  0.500

Computed properties:
**V**: 366.9 Å³ per cell
**Excess energy over the best structure of this formula in the dataset**: 0 meV per atom
**Size of the total moment**: 1.23 μB/f.u.
**Raw total energy**: -4.3045 eV/atom

# PrCdHgAu

Crystalline PrCdHgAu at its relaxed geometry (PBE-GGA, the Open Quantum Materials Database).

Unit cell a=7.248 b=7.248 c=7.248 alpha=90.00 beta=90.00 gamma=90.00
Positions (direct):
Pr  0.000  0.000  0.000
Pr  0.000  0.500  0.500
Pr  0.500  0.000  0.500
Pr  0.500  0.500  0.000
Cd  0.000  0.000  0.500
Cd  0.000  0.500  0.000
Cd  0.500  0.000  0.000
Cd  0.500  0.500  0.500
Hg  0.250  0.250  0.750
Hg  0.250  0.750  0.250
Hg  0.750  0.250  0.250
Hg  0.750  0.750  0.750
Au  0.250  0.250  0.250
Au  0.250  0.750  0.750
Au  0.750  0.250  0.750
Au  0.750  0.750  0.250

Computed properties:
**V**: 380.8 Å³ per cell
**ΔE_f**: -0.537 eV per atom
**Size of the total moment**: 0.00 μB/f.u.
**Raw total energy**: -2.8455 eV/atom

# RbNaIr

Crystalline RbNaIr at its relaxed geometry (PBE-GGA, the Open Quantum Materials Database).

Unit cell a=7.361 b=7.361 c=7.361 alpha=90.00 beta=90.00 gamma=90.00
Positions (direct):
Rb  0.000  0.000  0.000
Rb  0.000  0.500  0.500
Rb  0.500  0.000  0.500
Rb  0.500  0.500  0.000
Na  0.250  0.250  0.250
Na  0.250  0.750  0.750
Na  0.750  0.250  0.750
Na  0.750  0.750  0.250
Ir  0.250  0.250  0.750
Ir  0.250  0.750  0.250
Ir  0.750  0.250  0.250
Ir  0.750  0.750  0.750

Computed properties:
**V**: 398.9 Å³ per cell
**Excess energy over the best structure of this formula in the dataset**: 291 meV per atom
**Size of the total moment**: 1.00 μB/f.u.
**Raw total energy**: -2.3463 eV/atom

# PmNbIn

Crystalline PmNbIn at its relaxed geometry (PBE-GGA, the Open Quantum Materials Database).

Unit cell a=6.932 b=6.932 c=6.932 alpha=90.00 beta=90.00 gamma=90.00
Positions (direct):
Pm  0.000  0.000  0.000
Pm  0.000  0.500  0.500
Pm  0.500  0.000  0.500
Pm  0.500  0.500  0.000
Nb  0.000  0.000  0.500
Nb  0.000  0.500  0.000
Nb  0.500  0.000  0.000
Nb  0.500  0.500  0.500
In  0.250  0.250  0.750
In  0.250  0.750  0.250
In  0.750  0.250  0.250
In  0.750  0.750  0.750

Computed properties:
**V**: 333.1 Å³ per cell
**Excess energy over the best structure of this formula in the dataset**: 0 meV per atom
**Size of the total moment**: 0.69 μB/f.u.
**Raw total energy**: -5.3173 eV/atom

# HoIn8Fe4

Crystalline HoIn8Fe4 at its relaxed geometry (PBE-GGA, the Open Quantum Materials Database).

Unit cell a=7.298 b=7.298 c=7.298 alpha=98.32 beta=98.32 gamma=135.27
Positions (direct):
Ho  0.000  0.000  0.000
In  0.000  0.330  0.330
In  0.000  0.670  0.670
In  0.280  0.500  0.780
In  0.330  0.000  0.330
In  0.500  0.280  0.780
In  0.500  0.720  0.220
In  0.670  0.000  0.670
In  0.720  0.500  0.220
Fe  0.000  0.000  0.500
Fe  0.000  0.500  0.000
Fe  0.500  0.000  0.000
Fe  0.500  0.500  0.500

Computed properties:
**V**: 253.0 Å³ per cell
**Size of the total moment**: 8.51 μB/f.u.
**Raw total energy**: -4.5478 eV/atom

# DySi2Ir

Crystalline DySi2Ir at its relaxed geometry (PBE-GGA, the Open Quantum Materials Database).

Unit cell a=4.056 b=6.220 c=5.453 alpha=90.00 beta=90.00 gamma=90.00
Positions (direct):
Dy  0.000  0.082  0.000
Dy  0.500  0.918  0.500
Si  0.000  0.266  0.505
Si  0.000  0.640  0.712
Si  0.500  0.360  0.212
Si  0.500  0.734  0.005
Ir  0.000  0.593  0.238
Ir  0.500  0.407  0.738

Computed properties:
**V**: 137.6 Å³ per cell
**Size of the total moment**: 0.00 μB/f.u.
**Raw total energy**: -6.7984 eV/atom

# CoBiB4

Crystalline CoBiB4 at its relaxed geometry (PBE-GGA, the Open Quantum Materials Database).

Unit cell a=3.088 b=5.366 c=7.937 alpha=90.00 beta=90.00 gamma=90.00
Positions (direct):
Co  0.000  0.000  0.000
Co  0.500  0.500  0.500
Bi  0.000  0.000  0.500
Bi  0.500  0.500  0.000
B  0.000  0.337  0.258
B  0.000  0.337  0.742
B  0.000  0.663  0.258
B  0.000  0.663  0.742
B  0.500  0.163  0.242
B  0.500  0.163  0.758
B  0.500  0.837  0.242
B  0.500  0.837  0.758

Computed properties:
**V**: 131.5 Å³ per cell
**Excess energy over the best structure of this formula in the dataset**: 291 meV per atom
**Size of the total moment**: 1.81 μB/f.u.
**Raw total energy**: -5.5935 eV/atom

# Pm3Ni2Sn4

Crystalline Pm3Ni2Sn4 at its relaxed geometry (PBE-GGA, the Open Quantum Materials Database).

Unit cell a=6.136 b=6.136 c=8.678 alpha=103.75 beta=103.75 gamma=43.04
Positions (direct):
Pm  0.000  0.000  0.000
Pm  0.373  0.373  0.311
Pm  0.627  0.627  0.689
Ni  0.298  0.298  0.610
Ni  0.702  0.702  0.390
Sn  0.091  0.091  0.390
Sn  0.294  0.294  0.912
Sn  0.706  0.706  0.088
Sn  0.909  0.909  0.610

Computed properties:
**V**: 215.6 Å³ per cell
**Size of the total moment**: 0.00 μB/f.u.
**Raw total energy**: -5.2589 eV/atom